DFT (PBE-GGA) results for an optimized crystal structure of LaTl2CoPb.

Unit cell a=5.145 b=5.145 c=5.082 alpha=90.00 beta=90.00 gamma=90.00
Positions (direct):
Tl1 0.500 0.000 0.000
Tl2 0.000 0.500 0.000
La1 0.000 0.000 0.500
Co1 0.000 0.000 0.000
Pb1 0.500 0.500 0.500

Formation enthalpy at 0 K, eV/atom: -0.153